ScVN2F: optimized geometry, GGA+U.

Lattice parameters (Å, degrees): 3.8879 3.8879 3.7783 90.00 90.00 90.00
Closest atoms and distances in Å follow each position.
Element x y z (fractional)
N 0.0000 0.5000 0.0000  2 V 1.94
N 0.5000 0.0000 0.0000  2 V 1.94
V 0.0000 0.0000 0.0000  2 F 1.89, 4 N 1.94
F 0.0000 0.0000 0.5000  2 V 1.89
Sc 0.5000 0.5000 0.5000  8 N 2.71, 4 F 2.75

- Space-group type: P4/mmm, No. 123
- E above lowest polymorph: 0.000 eV/atom
- Density: 4.2 g/cm3